1.
LiCoW2 GGA-PBE optimized geometry; crystal system = cubic
1.0
0.000 2.985 2.985
2.985 0.000 2.985
2.985 2.985 0.000
Li Co W
1 1 2
Cartesian
0.000 0.000 0.000
2.985 2.985 2.985
1.492 1.492 1.492
4.477 4.477 4.477

2.
Li2CoW2 GGA-PBE optimized geometry; crystal system = tetragonal
1.0
7.388 0.000 0.000
0.000 7.388 0.000
0.000 0.000 2.626
Li Co W
4 2 4
Cartesian
2.355 1.339 1.313
5.033 6.049 1.313
1.339 5.033 1.313
6.049 2.355 1.313
3.694 3.694 0.000
0.000 0.000 0.000
0.875 2.819 0.000
6.513 4.569 0.000
4.569 0.875 0.000
2.819 6.513 0.000

3.
LiCo2W GGA-PBE optimized geometry; crystal system = tetragonal
1.0
2.600 0.000 0.000
0.000 2.600 0.000
0.000 0.000 7.813
Co Li W
2 1 1
Cartesian
0.000 0.000 0.203
1.300 1.300 1.753
0.000 0.000 3.710
1.300 1.300 6.054

4.
LiCoW2 GGA-PBE optimized geometry; crystal system = tetragonal
1.0
-0.838 -2.738 1.497
2.191 0.587 2.301
-3.602 2.612 2.762
Co W Li
1 2 1
Cartesian
-0.224 -0.422 2.589
-1.749 1.269 1.342
-0.052 0.037 0.040
-2.025 0.884 3.970

5.
LiCoW2 GGA-PBE optimized geometry; crystal system = orthorhombic
1.0
-1.105 2.273 -0.718
-0.387 -0.460 2.558
7.749 4.387 1.960
Co Li W
1 1 2
Cartesian
1.191 2.003 1.410
5.065 4.197 2.390
3.725 2.109 0.942
0.149 0.084 0.038

6.
LiCoW2 GGA-PBE optimized geometry; crystal system = cubic
1.0
-3.786 1.485 1.349
-3.125 -2.738 1.050
-1.148 -0.471 4.101
Co Li W
1 1 2
Cartesian
-4.030 -0.861 3.250
-6.044 -1.292 4.875
-2.015 -0.431 1.625
0.000 0.000 0.000

7.
LiCoW2 GGA-PBE optimized geometry; crystal system = orthorhombic
1.0
5.081 0.003 0.009
4.201 2.857 0.009
1.822 0.562 3.864
Li W Co
1 2 1
Cartesian
8.328 2.566 2.912
5.651 1.741 1.890
9.183 2.830 0.070
2.776 0.855 0.971

8.
LiCo2W GGA-PBE optimized geometry; crystal system = tetragonal
1.0
6.371 0.000 0.000
0.000 6.371 0.000
3.185 3.185 2.601
Co W Li
4 2 2
Cartesian
1.542 4.778 0.650
4.829 1.593 0.650
4.778 4.727 1.951
7.964 8.014 1.951
0.000 0.000 0.000
6.371 3.185 1.301
3.185 3.185 0.000
3.185 6.371 1.301

What did we get for volume? Answer: 53, 143, 53, 55, 59, 56, 56, 106 Å³/cell, in the order shown.
What did we get for total energy? Answer: -8.1324, -6.2929, -6.9625, -8.1793, -8.3327, -8.2605, -8.3853, -6.6419 eV/atom, in the order shown.
What did we get for magnetization? Answer: 0.0001, 0.0001, 0.7144, 0.2065, 0.2478, 0.0001, 0.0001, 0.0000 μB/atom, in the order shown.